# 1
Density functional theory data (PBE) for a geometry-optimized K7Na17Zn4Sn8 structure.

Cell and atoms, written as extended XYZ:
```
36
Lattice="9.9421 0.0000 0.0000 0.0876 11.3739 0.0000 0.0444 5.6610 10.0960" Properties=species:S:1:pos:R:3 pbc="T T T"
K 0.0000 0.0000 0.0000
K 0.6665 8.1976 7.1652
K 1.4904 14.9418 6.8600
K 4.3009 9.2800 6.8361
K 5.0714 13.8205 7.1326
K 5.6896 5.6268 0.0304
K 6.4414 10.2372 0.2846
Na 0.1149 5.8452 4.3168
Na 0.5765 2.3169 2.8189
Na 1.9673 8.9196 3.6491
Na 2.0786 11.6621 8.6178
Na 2.5229 5.8125 1.8724
Na 3.1280 11.4984 1.8633
Na 3.5595 6.0364 8.5431
Na 3.7338 3.2610 3.6511
Na 5.0776 7.9281 2.8327
Na 5.6585 11.5659 4.2527
Na 6.9043 4.8802 3.5163
Na 7.2069 7.8488 8.7345
Na 7.5585 7.9694 5.2521
Na 8.1600 13.6780 5.2723
Na 8.6121 13.3628 8.7231
Na 8.8155 10.5507 3.4760
Na 9.2093 4.5704 0.5114
Zn 0.1036 11.3782 6.1579
Zn 0.7225 8.1482 0.9462
Zn 4.9329 2.4527 0.9672
Zn 5.6452 5.6845 6.1911
Sn 2.3636 11.8962 5.0169
Sn 2.4997 3.0252 0.1567
Sn 3.1470 8.7022 0.1463
Sn 3.3741 6.1997 5.0549
Sn 7.2729 1.9907 2.0351
Sn 7.6372 10.7774 6.9925
Sn 8.0640 5.1084 6.9961
Sn 8.3993 7.5323 2.0491
```

## Properties
Formation energy from the elements, kJ/mol of formula units: -595
Total moment, μB/f.u.: 0.00
DFT total energy, eV/atom: -2.039

***

# 2
Density functional theory data (PBE) for a geometry-optimized Ce2NbCoN5 structure.

Cell and atoms, written as extended XYZ:
```
18
Lattice="1.6258 -6.4774 0.0000 1.6258 6.4774 0.0000 0.0000 0.0000 10.3409" Properties=species:S:1:pos:R:3 pbc="T T T"
Ce 1.6258 5.1082 5.1704
Ce 1.6258 4.6420 1.2780
Ce 1.6258 -4.6420 6.4485
Ce 1.6258 -5.1082 0.0000
Nb 1.6258 3.9014 8.5464
Nb 1.6258 -3.9014 3.3760
Co 1.6258 0.3198 2.7937
Co 1.6258 -0.3198 7.9642
N 1.6258 5.8646 9.0340
N 1.6258 2.8089 4.8295
N 1.6258 2.2775 1.9607
N 1.6258 1.7154 8.3841
N 1.6258 0.1535 6.1358
N 1.6258 -0.1535 0.9653
N 1.6258 -1.7154 3.2136
N 1.6258 -2.2775 7.1311
N 1.6258 -2.8089 9.9999
N 1.6258 -5.8646 3.8636
```

## Properties
E_form (uncorrected), eV/atom: -0.933
Total moment, μB/f.u.: 0.00
DFT total energy, eV/atom: -8.785

***

# 3
Density functional theory data (PBE) for a geometry-optimized Ba2MgPb8 structure.

Cell and atoms, written as extended XYZ:
```
11
Lattice="5.2156 0.0000 0.0000 0.0000 5.2156 0.0000 0.0000 0.0000 13.4204" Properties=species:S:1:pos:R:3 pbc="T T T"
Ba 0.0000 0.0000 2.5386
Ba 0.0000 0.0000 10.8817
Mg 0.0000 0.0000 6.7102
Pb 0.0000 2.6078 0.0000
Pb 0.0000 2.6078 5.0281
Pb 0.0000 2.6078 8.3923
Pb 2.6078 0.0000 0.0000
Pb 2.6078 0.0000 5.0281
Pb 2.6078 0.0000 8.3923
Pb 2.6078 2.6078 2.5616
Pb 2.6078 2.6078 10.8587
```

## Properties
Formation energy from the elements, kJ/mol of formula units: -269
Total moment, μB/f.u.: 0.00
DFT total energy, eV/atom: -3.445

***

Please write out number 1 again, unchanged.
Density functional theory data (PBE) for a geometry-optimized K7Na17Zn4Sn8 structure.

Cell and atoms, written as extended XYZ:
```
36
Lattice="9.9421 0.0000 0.0000 0.0876 11.3739 0.0000 0.0444 5.6610 10.0960" Properties=species:S:1:pos:R:3 pbc="T T T"
K 0.0000 0.0000 0.0000
K 0.6665 8.1976 7.1652
K 1.4904 14.9418 6.8600
K 4.3009 9.2800 6.8361
K 5.0714 13.8205 7.1326
K 5.6896 5.6268 0.0304
K 6.4414 10.2372 0.2846
Na 0.1149 5.8452 4.3168
Na 0.5765 2.3169 2.8189
Na 1.9673 8.9196 3.6491
Na 2.0786 11.6621 8.6178
Na 2.5229 5.8125 1.8724
Na 3.1280 11.4984 1.8633
Na 3.5595 6.0364 8.5431
Na 3.7338 3.2610 3.6511
Na 5.0776 7.9281 2.8327
Na 5.6585 11.5659 4.2527
Na 6.9043 4.8802 3.5163
Na 7.2069 7.8488 8.7345
Na 7.5585 7.9694 5.2521
Na 8.1600 13.6780 5.2723
Na 8.6121 13.3628 8.7231
Na 8.8155 10.5507 3.4760
Na 9.2093 4.5704 0.5114
Zn 0.1036 11.3782 6.1579
Zn 0.7225 8.1482 0.9462
Zn 4.9329 2.4527 0.9672
Zn 5.6452 5.6845 6.1911
Sn 2.3636 11.8962 5.0169
Sn 2.4997 3.0252 0.1567
Sn 3.1470 8.7022 0.1463
Sn 3.3741 6.1997 5.0549
Sn 7.2729 1.9907 2.0351
Sn 7.6372 10.7774 6.9925
Sn 8.0640 5.1084 6.9961
Sn 8.3993 7.5323 2.0491
```

## Properties
Formation energy from the elements, kJ/mol of formula units: -595
Total moment, μB/f.u.: 0.00
DFT total energy, eV/atom: -2.039

***

Question: Which formula does entry 3 have?
Answer: Ba2MgPb8